Li2GdYSn2Ir2, relaxed, DFT GGA-PBE; total DFT energy (no corrections) = -5.734 eV per atom; space-group type = P-4m2 (115)
1.0
-2.097 -1.597 3.944
1.821 -4.311 -0.777
5.439 1.655 3.563
Gd Ir Li Sn Y
1 2 2 2 1
Cartesian
0.000 0.000 0.000
2.273 -1.741 0.504
3.028 0.442 4.642
0.312 -0.384 2.863
4.989 -0.914 2.283
-0.138 -2.954 1.583
2.720 0.828 1.781
2.581 -2.126 3.365

GdLu3Ir2, relaxed, DFT GGA-PBE; formation enthalpy at 0 K = -0.5628 eV/atom; total DFT energy (no corrections) = -6.552 eV per atom; space-group type = P6/mmm (191)
1.0
3.345 -5.795 0.000
3.345 5.795 0.000
0.000 0.000 3.907
Gd Ir Lu
1 2 3
Cartesian
0.000 0.000 1.954
3.345 -1.931 1.954
3.345 1.931 1.954
1.672 -2.898 0.000
1.672 2.898 0.000
3.345 0.000 0.000

Nd2GdMg3Ir3, relaxed, DFT GGA-PBE; total DFT energy (no corrections) = -5.664 eV per atom; space-group type = Amm2 (38)
1.0
4.127 0.000 0.000
0.000 6.379 3.690
0.000 -6.379 3.690
Gd Ir Mg Nd
1 3 3 2
Cartesian
0.000 0.000 3.013
0.000 0.000 0.029
2.063 2.083 3.683
2.063 -2.083 3.683
2.063 1.537 0.903
2.063 -1.537 0.903
2.063 0.000 5.587
0.000 2.626 5.860
0.000 -2.626 5.860

Nd2GdMg3Ir2Pd, relaxed, DFT GGA-PBE; total DFT energy (no corrections) = -5.283 eV per atom; space-group type = Amm2 (38)
1.0
4.080 0.000 0.000
0.000 6.456 3.746
0.000 -6.456 3.746
Gd Ir Mg Nd Pd
1 2 3 2 1
Cartesian
0.000 0.000 3.113
2.040 2.106 3.734
2.040 -2.106 3.734
2.040 1.580 0.932
2.040 -1.580 0.932
2.040 0.000 5.636
0.000 3.756 2.183
0.000 -3.756 2.183
0.000 0.000 0.029

Mass density / g/cm3: 9.70, 11.69, 9.36, 8.49